# 1
CaLaB12: optimized geometry, PBE.

Cell and atoms, written as CIF:
```
data_CaLaB12
_chemical_formula_sum 'Ca4 La4 B48'
_cell_length_a 8.301
_cell_length_b 8.301
_cell_length_c 8.301
_cell_angle_alpha 90.00
_cell_angle_beta 90.00
_cell_angle_gamma 90.00
_space_group_name_H-M_alt 'F m -3 m'
_space_group_IT_number 225
_space_group_name_Hall '-F 4 2 3'
loop_
_atom_site_label
_atom_site_type_symbol
_atom_site_fract_x
_atom_site_fract_y
_atom_site_fract_z
Ca1 Ca 0.000 0.000 0.000
La1 La 0.000 0.000 0.500
B1 B 0.100 0.250 0.250
```

Calculated values
The total magnetic moment is 0.00 μB/f.u. As for the formation energy: -0.487 eV/atom. Its crystal system is cubic. As for the total energy: -6.7052 eV/atom. As for the density of states at the Fermi level: 13.43 states/eV per cell.

***

# 2
CaLa2B: optimized geometry, PBE.

Cell and atoms, written as CIF:
```
data_CaLa2B
_chemical_formula_sum 'Ca4 La8 B4'
_cell_length_a 8.664
_cell_length_b 8.664
_cell_length_c 6.482
_cell_angle_alpha 90.00
_cell_angle_beta 90.00
_cell_angle_gamma 90.00
_space_group_name_H-M_alt 'I -4 2 d'
_space_group_IT_number 122
_space_group_name_Hall 'I -4 2bw'
loop_
_atom_site_label
_atom_site_type_symbol
_atom_site_fract_x
_atom_site_fract_y
_atom_site_fract_z
Ca1 Ca 0.000 0.000 0.000
La1 La 0.155 0.750 0.625
B1 B 0.000 0.000 0.500
```

Calculated values
The total magnetic moment is 0.00 μB/f.u. As for the formation energy: 0.319 eV/atom. Its crystal system is tetragonal. As for the total energy: -4.3147 eV/atom. As for the density of states at the Fermi level: 18.99 states/eV per cell.

***

# 3
CaLaB: optimized geometry, PBE.

Cell and atoms, written as CIF:
```
data_CaLaB
_chemical_formula_sum 'Ca4 La4 B4'
_cell_length_a 5.390
_cell_length_b 3.326
_cell_length_c 18.426
_cell_angle_alpha 90.00
_cell_angle_beta 90.00
_cell_angle_gamma 90.00
_space_group_name_H-M_alt 'A m m 2'
_space_group_IT_number 38
loop_
_space_group_symop_operation_xyz
'x,y,z'
'-x,-y,z'
'-x,y,z'
'x,-y,z'
'x,y+1/2,z+1/2'
'-x,-y+1/2,z+1/2'
'-x,y+1/2,z+1/2'
'x,-y+1/2,z+1/2'
loop_
_atom_site_label
_atom_site_type_symbol
_atom_site_fract_x
_atom_site_fract_y
_atom_site_fract_z
Ca1 Ca 0.000 0.000 0.000
Ca2 Ca 0.500 0.000 0.385
La1 La 0.000 0.000 0.768
La2 La 0.500 0.000 0.131
B1 B 0.000 0.000 0.149
B2 B 0.000 0.000 0.624
```

Calculated values
The total magnetic moment is 0.00 μB/f.u. As for the formation energy: -0.012 eV/atom. Its crystal system is orthorhombic. The polymorph energy (0 for the lowest one) is 136 meV/atom. As for the total energy: -4.5470 eV/atom. As for the density of states at the Fermi level: 13.73 states/eV per cell.

***

# 4
CaLa3B2N6: optimized geometry, PBE.

Cell and atoms, written as CIF:
```
data_CaLa3B2N6
_chemical_formula_sum 'Ca1 La3 B2 N6'
_cell_length_a 5.6833
_cell_length_b 5.6833
_cell_length_c 6.3848
_cell_angle_alpha 90.00
_cell_angle_beta 90.00
_cell_angle_gamma 120.00
_space_group_name_H-M_alt 'P -3 m 1'
_space_group_IT_number 164
_space_group_name_Hall '-P 3 2"'
loop_
_atom_site_label
_atom_site_type_symbol
_atom_site_fract_x
_atom_site_fract_y
_atom_site_fract_z
Ca1 Ca 0.0000 0.0000 0.0000
La1 La 0.0000 0.0000 0.5000
La2 La 0.3333 0.6667 0.1595
B1 B 0.3333 0.6667 0.7447
N1 N 0.1867 0.3735 0.7719
```

Calculated values
Its raw formation energy is -1.070 eV/atom. The total magnetic moment is 0.00 μB/f.u. Its crystal system is trigonal. As for the total energy: -7.7438 eV/atom. As for the density of states at the Fermi level: 5.76 states/eV per cell.

***

# 5
CaLaNi2B: optimized geometry, PBE.

Cell and atoms, written as CIF:
```
data_CaLaNi2B
_chemical_formula_sum 'Ca1 La1 Ni2 B1'
_cell_length_a 4.628
_cell_length_b 4.628
_cell_length_c 6.162
_cell_angle_alpha 90.00
_cell_angle_beta 90.00
_cell_angle_gamma 90.00
_space_group_name_H-M_alt 'P 4/m m m'
_space_group_IT_number 123
_space_group_name_Hall '-P 4 2'
loop_
_atom_site_label
_atom_site_type_symbol
_atom_site_fract_x
_atom_site_fract_y
_atom_site_fract_z
Ca1 Ca 0.000 0.000 0.000
La1 La 0.000 0.000 0.500
Ni1 Ni 0.000 0.500 0.500
B1 B 0.500 0.500 0.000
```

Calculated values
The total magnetic moment is 0.00 μB/f.u. As for the formation energy: 1.739 eV/atom. Its crystal system is tetragonal. As for the total energy: -3.2949 eV/atom. As for the density of states at the Fermi level: 6.06 states/eV per cell.

***

# 6
CaLa2NiB: optimized geometry, PBE.

Cell and atoms, written as CIF:
```
data_CaLa2NiB
_chemical_formula_sum 'Ca1 La2 Ni1 B1'
_cell_length_a 5.224
_cell_length_b 5.224
_cell_length_c 5.241
_cell_angle_alpha 90.00
_cell_angle_beta 90.00
_cell_angle_gamma 90.00
_space_group_name_H-M_alt 'P 4/m m m'
_space_group_IT_number 123
_space_group_name_Hall '-P 4 2'
loop_
_atom_site_label
_atom_site_type_symbol
_atom_site_fract_x
_atom_site_fract_y
_atom_site_fract_z
Ca1 Ca 0.000 0.000 0.000
La1 La 0.000 0.500 0.500
Ni1 Ni 0.000 0.000 0.500
B1 B 0.500 0.500 0.000
```

Calculated values
The total magnetic moment is 0.00 μB/f.u. As for the formation energy: 0.608 eV/atom. Its crystal system is tetragonal. As for the total energy: -4.2552 eV/atom. As for the density of states at the Fermi level: 6.21 states/eV per cell.